BaCaSeCl2: optimized geometry, PBE-GGA.

Output
Space group ... P4mm, No. 99
DFT total energy ... -4.381 eV/atom
Density of states at the Fermi level ... 0.00 states/eV per atom

Cell: 4.859 4.859 7.071 Å, 90.00 90.00 90.00°
Fractional positions:
Ba  0.500  0.500  0.604
Ca  0.000  0.000  0.082
Se  0.000  0.000  0.474
Cl  0.000  0.500  0.920
Cl  0.500  0.000  0.920